*A*
The following is a GGA+U calculation of a geometry-optimized Sc2FeO2 structure, from the Alexandria database.

The structure in POSCAR format:
```
Sc2FeO2
1.0
6.320 0.000 0.000
0.000 6.320 0.000
0.000 0.000 2.925
Sc Fe O
4 2 4
Cartesian
1.024 2.136 0.000
2.136 5.297 0.000
4.184 1.024 0.000
5.297 4.184 0.000
0.000 0.000 1.462
3.160 3.160 1.462
0.905 4.065 1.462
2.255 0.905 1.462
4.065 5.416 1.462
5.416 2.255 1.462
```



*B*
The following is a GGA+U calculation of a geometry-optimized Sc2FeO2 structure, from the Alexandria database.

The structure in POSCAR format:
```
Sc2FeO2
1.0
4.372 0.000 0.000
0.000 4.372 0.000
0.000 0.000 8.306
Sc Fe O
4 2 4
Cartesian
0.000 2.186 2.077
0.000 2.186 6.230
2.186 0.000 2.077
2.186 0.000 6.230
0.000 0.000 0.000
2.186 2.186 4.153
0.000 0.000 1.919
0.000 0.000 6.387
2.186 2.186 2.234
2.186 2.186 6.072
```



Which of them is the most stable, and which is the least stable? *B* and *A*, in that order.



*A*
The following is a GGA+U calculation of a geometry-optimized Fe2SeO structure, from the Alexandria database.

The structure in POSCAR format:
```
Fe2SeO
1.0
6.020 0.000 0.000
0.000 6.020 0.000
0.000 0.000 6.020
Fe Se O
8 4 4
Cartesian
1.505 1.505 1.505
1.505 1.505 4.515
1.505 4.515 1.505
1.505 4.515 4.515
4.515 1.505 1.505
4.515 1.505 4.515
4.515 4.515 1.505
4.515 4.515 4.515
0.000 0.000 0.000
0.000 3.010 3.010
3.010 0.000 3.010
3.010 3.010 0.000
0.000 0.000 3.010
0.000 3.010 0.000
3.010 0.000 0.000
3.010 3.010 3.010
```



*B*
The following is a GGA+U calculation of a geometry-optimized Fe2SeO structure, from the Alexandria database.

The structure in POSCAR format:
```
Fe2SeO
1.0
5.259 0.000 0.000
0.000 5.259 0.000
0.000 0.000 10.540
Fe Se O
8 4 4
Cartesian
0.866 1.315 1.317
1.315 3.495 3.952
1.315 4.393 9.222
1.764 1.315 6.587
3.495 3.944 6.587
3.944 0.866 9.222
3.944 1.764 3.952
4.393 3.944 1.317
0.000 0.000 5.270
0.000 2.629 7.905
2.629 0.000 2.635
2.629 2.629 0.000
0.000 0.000 0.000
0.000 2.629 2.635
2.629 0.000 7.905
2.629 2.629 5.270
```



Which of them is the most stable, and which is the least stable? *B* and *A*, in that order.



*A*
The following is a GGA+U calculation of a geometry-optimized Fe3SeO structure, from the Alexandria database.

The structure in POSCAR format:
```
Fe3SeO
1.0
4.177 0.000 0.000
0.000 4.177 0.000
0.000 0.000 4.177
Fe Se O
3 1 1
Cartesian
0.000 0.000 2.089
0.000 2.089 0.000
2.089 0.000 0.000
2.089 2.089 2.089
0.000 0.000 0.000
```



*B*
The following is a GGA+U calculation of a geometry-optimized Fe3SeO structure, from the Alexandria database.

The structure in POSCAR format:
```
Fe3SeO
1.0
4.566 0.000 0.000
0.000 4.566 0.000
0.000 0.000 4.566
Fe Se O
3 1 1
Cartesian
0.000 0.000 2.283
0.000 2.283 0.000
2.283 0.000 0.000
0.000 0.000 0.000
2.283 2.283 2.283
```



Which of them is the most stable, and which is the least stable? *A* and *B*, in that order.



*A*
The following is a GGA+U calculation of a geometry-optimized TlFeSe2O8 structure, from the Alexandria database.

The structure in POSCAR format:
```
TlFeSe2O8
1.0
2.538 1.466 8.768
-2.538 1.466 8.768
0.000 -2.931 8.768
Tl Fe Se O
1 1 2 8
Cartesian
0.000 0.000 0.000
0.000 0.000 13.152
0.000 0.000 6.133
0.000 0.000 20.172
-1.621 -0.161 11.945
-0.672 -1.485 14.360
0.000 0.000 7.786
0.950 -1.324 11.945
-0.950 1.324 14.360
0.000 0.000 18.519
0.672 1.485 11.945
1.621 0.161 14.360
```



*B*
The following is a GGA+U calculation of a geometry-optimized TlFeSe2O8 structure, from the Alexandria database.

The structure in POSCAR format:
```
TlFeSe2O8
1.0
5.230 0.000 0.000
-2.615 4.529 0.000
0.000 0.000 8.700
Tl Fe Se O
1 1 2 8
Cartesian
0.000 0.000 0.000
0.000 0.000 4.350
0.000 3.019 6.195
2.615 1.510 2.505
-0.448 1.492 5.658
-1.099 4.171 5.658
1.516 0.358 3.042
0.000 3.019 7.843
2.615 1.510 0.857
1.547 3.396 5.658
2.167 3.038 3.042
4.162 1.134 3.042
```



Which of them is the most stable, and which is the least stable? *A* and *B*, in that order.



*A*
The following is a GGA+U calculation of a geometry-optimized Fe2SiO4 structure, from the Alexandria database.

The structure in POSCAR format:
```
Fe2SiO4
1.0
0.000 4.167 4.167
4.167 0.000 4.167
4.167 4.167 0.000
Fe Si O
4 2 8
Cartesian
0.000 0.000 0.000
2.084 2.084 0.000
2.084 0.000 2.084
0.000 2.084 2.084
3.125 3.125 3.125
5.209 5.209 5.209
2.161 2.161 2.161
4.090 4.090 2.161
4.090 2.161 4.090
6.174 4.244 4.244
2.161 4.090 4.090
4.244 6.174 4.244
4.244 4.244 6.174
6.174 6.174 6.174
```



*B*
The following is a GGA+U calculation of a geometry-optimized Fe2SiO4 structure, from the Alexandria database.

The structure in POSCAR format:
```
Fe2SiO4
1.0
-2.833 3.207 3.768
2.833 -3.207 3.768
2.833 3.207 -3.768
Fe Si O
4 2 8
Cartesian
0.000 0.000 0.000
-1.416 1.603 1.884
0.000 3.207 0.000
1.416 1.603 1.884
1.416 1.603 -1.884
1.416 -1.603 1.884
2.833 -0.364 1.846
2.833 2.843 -1.846
1.341 1.603 -0.123
1.492 -1.603 3.645
1.341 4.810 0.123
1.492 1.603 3.891
0.000 0.364 5.614
0.000 3.570 1.922
```



Which of them is the most stable, and which is the least stable? *A* and *B*, in that order.



*A*
The following is a GGA+U calculation of a geometry-optimized Fe2SiO4 structure, from the Alexandria database.

The structure in POSCAR format:
```
Fe2SiO4
1.0
5.119 0.000 0.000
0.000 5.119 0.000
0.000 0.000 7.192
Fe Si O
4 2 8
Cartesian
0.000 2.560 1.798
0.000 2.560 5.394
2.560 0.000 1.798
2.560 0.000 5.394
0.000 0.000 0.000
2.560 2.560 3.596
0.959 0.959 0.939
0.959 4.161 6.253
1.601 1.601 4.535
1.601 3.518 2.657
3.518 1.601 2.657
3.518 3.518 4.535
4.161 0.959 6.253
4.161 4.161 0.939
```



*B*
The following is a GGA+U calculation of a geometry-optimized Fe2SiO4 structure, from the Alexandria database.

The structure in POSCAR format:
```
Fe2SiO4
1.0
4.882 0.000 0.000
0.000 6.166 0.000
-0.002 0.000 10.625
Fe Si O
8 4 16
Cartesian
0.000 0.000 0.000
0.000 3.083 0.000
0.058 1.542 7.658
2.374 1.542 2.347
2.440 0.000 5.313
2.440 3.083 5.313
2.506 4.625 8.278
4.822 4.625 2.968
0.344 4.625 6.337
2.092 4.625 1.029
2.788 1.542 9.596
4.536 1.542 4.288
1.025 3.306 7.068
1.025 4.625 4.809
1.025 5.944 7.068
1.144 1.542 9.643
1.297 1.542 4.343
1.405 3.311 1.763
1.405 5.938 1.763
1.412 4.625 10.128
3.468 1.542 0.498
3.475 0.228 8.863
3.475 2.855 8.863
3.583 4.625 6.282
3.736 4.625 0.982
3.855 0.223 3.558
3.855 1.542 5.816
3.855 2.861 3.558
```



Which of them is the most stable, and which is the least stable? *B* and *A*, in that order.



*A*
The following is a GGA+U calculation of a geometry-optimized Fe3Si2O8 structure, from the Alexandria database.

The structure in POSCAR format:
```
Fe3Si2O8
1.0
5.188 0.000 0.000
0.719 8.647 0.000
2.584 3.582 12.938
Fe Si O
9 6 24
Cartesian
0.000 0.000 0.000
1.319 5.582 4.223
3.326 9.466 10.918
1.348 2.771 2.141
3.897 5.854 8.740
3.865 3.053 6.572
3.881 6.993 2.395
3.865 3.912 0.273
5.702 8.067 6.282
3.613 6.405 11.951
3.397 8.902 7.683
5.926 10.482 12.332
4.000 3.991 3.491
6.468 4.923 7.281
6.349 8.463 3.150
2.827 7.868 11.869
2.070 5.520 8.580
2.148 8.790 6.681
2.917 9.365 9.150
2.100 3.672 6.644
1.392 1.108 2.886
2.113 7.133 3.214
2.354 4.025 3.226
2.077 2.943 0.316
5.121 11.819 12.808
4.329 6.039 10.551
4.277 7.464 7.701
5.163 9.713 11.123
4.595 9.844 7.029
3.585 5.890 0.657
4.898 4.438 7.712
4.444 3.170 4.817
4.559 5.511 3.623
5.370 8.409 4.449
4.689 3.313 2.131
5.348 8.295 1.803
7.489 10.929 11.832
6.268 6.107 6.144
7.609 5.394 12.467
```



*B*
The following is a GGA+U calculation of a geometry-optimized Fe3Si2O8 structure, from the Alexandria database.

The structure in POSCAR format:
```
Fe3Si2O8
1.0
5.883 0.000 0.000
0.000 4.888 0.000
-0.188 0.000 10.325
Fe Si O
6 4 16
Cartesian
0.000 0.000 0.000
-0.094 2.444 5.162
1.390 0.015 7.508
1.484 2.429 2.346
4.211 2.459 7.979
4.305 4.873 2.817
1.297 2.719 9.331
1.390 4.614 4.169
4.305 0.274 6.156
4.399 2.170 0.993
0.029 3.536 8.572
0.123 3.797 3.409
1.215 1.097 9.211
1.309 1.347 4.048
1.405 3.258 0.551
1.311 4.074 5.714
2.526 3.399 8.460
2.620 3.934 3.297
3.075 0.954 7.027
3.169 1.490 1.865
4.385 0.814 4.611
4.291 1.630 9.774
4.386 3.541 6.277
4.480 3.791 1.114
5.573 1.092 6.916
5.666 1.352 1.753
```



Which of them is the most stable, and which is the least stable? *B* and *A*, in that order.



*A*
The following is a GGA+U calculation of a geometry-optimized Fe2SiO structure, from the Alexandria database.

The structure in POSCAR format:
```
Fe2SiO
1.0
5.852 0.000 0.000
0.000 5.852 0.000
0.000 0.000 5.852
Fe Si O
8 4 4
Cartesian
1.463 1.463 1.463
1.463 1.463 4.389
1.463 4.389 1.463
1.463 4.389 4.389
4.389 1.463 1.463
4.389 1.463 4.389
4.389 4.389 1.463
4.389 4.389 4.389
0.000 0.000 0.000
0.000 2.926 2.926
2.926 0.000 2.926
2.926 2.926 0.000
0.000 0.000 2.926
0.000 2.926 0.000
2.926 0.000 0.000
2.926 2.926 2.926
```



*B*
The following is a GGA+U calculation of a geometry-optimized Fe2SiO structure, from the Alexandria database.

The structure in POSCAR format:
```
Fe2SiO
1.0
5.878 0.000 0.000
0.000 5.878 0.000
0.000 0.000 7.392
Fe Si O
8 4 4
Cartesian
1.002 4.408 0.924
1.469 1.002 6.468
1.469 1.936 2.772
1.936 4.408 4.620
3.941 1.469 4.620
4.408 3.941 2.772
4.408 4.875 6.468
4.875 1.469 0.924
0.000 0.000 3.696
0.000 2.939 5.544
2.939 0.000 1.848
2.939 2.939 0.000
0.000 0.000 0.000
0.000 2.939 1.848
2.939 0.000 5.544
2.939 2.939 3.696
```



Which of them is the most stable, and which is the least stable? *B* and *A*, in that order.



*A*
The following is a GGA+U calculation of a geometry-optimized FeSiO4 structure, from the Alexandria database.

The structure in POSCAR format:
```
FeSiO4
1.0
11.741 0.000 0.000
0.000 6.049 0.000
0.000 0.000 5.366
Fe Si O
4 4 16
Cartesian
1.033 1.512 1.005
4.837 4.537 3.688
6.904 1.512 1.678
10.708 4.537 4.361
0.861 4.537 1.670
5.010 1.512 4.353
6.731 4.537 1.013
10.880 1.512 3.696
0.463 4.537 3.262
0.504 1.512 4.593
1.751 3.194 1.347
1.751 5.879 1.347
4.119 0.170 4.030
4.119 2.855 4.030
5.367 4.537 1.910
5.407 1.512 0.579
6.334 4.537 4.787
6.374 1.512 3.456
7.622 3.194 1.336
7.622 5.879 1.336
9.989 0.170 4.019
9.989 2.855 4.019
11.237 4.537 0.773
11.278 1.512 2.104
```



*B*
The following is a GGA+U calculation of a geometry-optimized FeSiO4 structure, from the Alexandria database.

The structure in POSCAR format:
```
FeSiO4
1.0
6.122 0.000 0.000
0.000 5.798 0.000
0.000 0.000 5.381
Fe Si O
2 2 8
Cartesian
0.000 1.057 0.000
3.061 4.741 2.691
0.000 4.905 2.691
3.061 0.893 0.000
0.000 0.446 3.625
0.000 5.371 1.113
1.359 4.026 2.962
1.702 1.772 0.271
3.061 0.427 3.803
3.061 5.352 0.935
4.420 1.772 0.271
4.763 4.026 2.962
```



Which of them is the most stable, and which is the least stable? *A* and *B*, in that order.